[1]
# SrAc5Sb6 (PBE-GGA, optimized geometry)
# - ρ: 7789 kg/m3
# - Calculated total energy: -4.86 eV/atom
# - Energy relative to the elements, uncorrected: -947 meV/atom
data_SrAc5Sb6
_chemical_formula_sum 'Sr2 Ac10 Sb12'
_cell_length_a 5.424
_cell_length_b 8.362
_cell_length_c 18.360
_cell_angle_alpha 90.00
_cell_angle_beta 90.00
_cell_angle_gamma 90.00
_symmetry_space_group_name_H-M 'I m m m'
_symmetry_Int_Tables_number 71
_symmetry_space_group_name_Hall '-I 2 2'
loop_
_atom_site_label
_atom_site_type_symbol
_atom_site_fract_x
_atom_site_fract_y
_atom_site_fract_z
Sr1 Sr 0.000 0.000 0.000
Ac1 Ac 0.000 0.000 0.328
Ac2 Ac 0.000 0.500 0.000
Ac3 Ac 0.000 0.500 0.345
Sb1 Sb 0.000 0.247 0.500
Sb2 Sb 0.000 0.253 0.168

[2]
# Li4Pb (PBE-GGA, optimized geometry)
# - ρ: 2976 kg/m3
# - Relative energy among the computed polymorphs: 84.1 meV per atom
# - Calculated total energy: -2.39 eV/atom
# - ΔE_f: -0.113 eV per atom
data_Li4Pb
_chemical_formula_sum 'Li8 Pb2'
_cell_length_a 6.400
_cell_length_b 6.400
_cell_length_c 6.400
_cell_angle_alpha 90.00
_cell_angle_beta 90.00
_cell_angle_gamma 90.00
_symmetry_space_group_name_H-M 'I m -3 m'
_symmetry_Int_Tables_number 229
_symmetry_space_group_name_Hall '-I 4 2 3'
loop_
_atom_site_label
_atom_site_type_symbol
_atom_site_fract_x
_atom_site_fract_y
_atom_site_fract_z
Li1 Li 0.250 0.250 0.250
Pb1 Pb 0.000 0.000 0.000

[3]
# Mn2AsRh (PBE-GGA, optimized geometry)
# - ρ: 8323 kg/m3
# - Calculated total energy: -7.65 eV/atom
# - ΔE_f: -0.067 eV per atom
data_Mn2AsRh
_chemical_formula_sum 'Mn4 As2 Rh2'
_cell_length_a 3.713
_cell_length_b 3.726
_cell_length_c 8.298
_cell_angle_alpha 90.00
_cell_angle_beta 90.00
_cell_angle_gamma 90.00
_symmetry_space_group_name_H-M 'I m m 2'
_symmetry_Int_Tables_number 44
loop_
_symmetry_equiv_pos_as_xyz
'x,y,z'
'-x,-y,z'
'-x,y,z'
'x,-y,z'
'x+1/2,y+1/2,z+1/2'
'-x+1/2,-y+1/2,z+1/2'
'-x+1/2,y+1/2,z+1/2'
'x+1/2,-y+1/2,z+1/2'
loop_
_atom_site_label
_atom_site_type_symbol
_atom_site_fract_x
_atom_site_fract_y
_atom_site_fract_z
Mn1 Mn 0.000 0.000 0.000
Mn2 Mn 0.000 0.500 0.250
As1 As 0.000 0.000 0.500
Rh1 Rh 0.000 0.500 0.750

[4]
# La4GePb (PBE-GGA, optimized geometry)
# - ρ: 7187 kg/m3
# - Relative energy among the computed polymorphs: 16.3 meV per atom
# - Calculated total energy: -5.20 eV/atom
# - ΔE_f: -0.524 eV per atom
data_La4GePb
_chemical_formula_sum 'La16 Ge4 Pb4'
_cell_length_a 9.123
_cell_length_b 14.441
_cell_length_c 6.308
_cell_angle_alpha 90.00
_cell_angle_beta 111.68
_cell_angle_gamma 90.00
_symmetry_space_group_name_H-M 'C 1 2/c 1'
_symmetry_Int_Tables_number 15
loop_
_symmetry_equiv_pos_as_xyz
'x,y,z'
'-x,-y,-z'
'-x,y,-z+1/2'
'x,-y,z+1/2'
'x+1/2,y+1/2,z'
'-x+1/2,-y+1/2,-z'
'-x+1/2,y+1/2,-z+1/2'
'x+1/2,-y+1/2,z+1/2'
loop_
_atom_site_label
_atom_site_type_symbol
_atom_site_fract_x
_atom_site_fract_y
_atom_site_fract_z
La1 La 0.110 0.181 0.065
La2 La 0.203 0.420 0.350
Ge1 Ge 0.000 0.001 0.750
Pb1 Pb 0.000 0.379 0.750

[5]
# Li2CeInPd4 (PBE-GGA, optimized geometry)
# - ρ: 8237 kg/m3
# - Calculated total energy: -4.73 eV/atom
# - ΔE_f: -0.569 eV per atom
data_Li2CeInPd4
_chemical_formula_sum 'Li6 Ce3 In3 Pd12'
_cell_length_a 4.5784
_cell_length_b 4.5784
_cell_length_c 23.1370
_cell_angle_alpha 90.00
_cell_angle_beta 90.00
_cell_angle_gamma 120.00
_symmetry_space_group_name_H-M 'R -3 m'
_symmetry_Int_Tables_number 166
_symmetry_space_group_name_Hall '-R 3 2"'
loop_
_atom_site_label
_atom_site_type_symbol
_atom_site_fract_x
_atom_site_fract_y
_atom_site_fract_z
Li1 Li 0.0000 0.0000 0.2416
Ce1 Ce 0.0000 0.0000 0.0000
In1 In 0.0000 0.0000 0.5000
Pd1 Pd 0.0000 0.0000 0.1229
Pd2 Pd 0.0000 0.0000 0.3836

[6]
# Hf2BePt9 (PBE-GGA, optimized geometry)
# - ρ: 18727 kg/m3
# - Calculated total energy: -7.35 eV/atom
# - ΔE_f: -0.847 eV per atom
data_Hf2BePt9
_chemical_formula_sum 'Hf2 Be1 Pt9'
_cell_length_a 3.985
_cell_length_b 3.985
_cell_length_c 11.845
_cell_angle_alpha 90.00
_cell_angle_beta 90.00
_cell_angle_gamma 90.00
_symmetry_space_group_name_H-M 'P 4/m m m'
_symmetry_Int_Tables_number 123
_symmetry_space_group_name_Hall '-P 4 2'
loop_
_atom_site_label
_atom_site_type_symbol
_atom_site_fract_x
_atom_site_fract_y
_atom_site_fract_z
Hf1 Hf 0.000 0.000 0.176
Be1 Be 0.000 0.000 0.500
Pt1 Pt 0.000 0.500 0.000
Pt2 Pt 0.000 0.500 0.343
Pt3 Pt 0.500 0.500 0.171
Pt4 Pt 0.500 0.500 0.500

[7]
# YPuF6 (PBE-GGA, optimized geometry)
# - ρ: 5329 kg/m3
# - Calculated total energy: -7.76 eV/atom
# - Energy relative to the elements, uncorrected: -3762 meV/atom
data_YPuF6
_chemical_formula_sum 'Y2 Pu2 F12'
_cell_length_a 5.779
_cell_length_b 8.499
_cell_length_c 5.768
_cell_angle_alpha 90.00
_cell_angle_beta 100.54
_cell_angle_gamma 90.00
_symmetry_space_group_name_H-M 'C 1 2/m 1'
_symmetry_Int_Tables_number 12
loop_
_symmetry_equiv_pos_as_xyz
'x,y,z'
'-x,-y,-z'
'-x,y,-z'
'x,-y,z'
'x+1/2,y+1/2,z'
'-x+1/2,-y+1/2,-z'
'-x+1/2,y+1/2,-z'
'x+1/2,-y+1/2,z'
loop_
_atom_site_label
_atom_site_type_symbol
_atom_site_fract_x
_atom_site_fract_y
_atom_site_fract_z
Y1 Y 0.000 0.000 0.000
Pu1 Pu 0.000 0.500 0.500
F1 F 0.230 0.157 0.251
F2 F 0.239 0.500 0.230

[8]
# BaCuP2 (PBE-GGA, optimized geometry)
# - ρ: 4530 kg/m3
# - Calculated total energy: -4.33 eV/atom
# - ΔE_f: -0.116 eV per atom
data_BaCuP2
_chemical_formula_sum 'Ba2 Cu2 P4'
_cell_length_a 4.176
_cell_length_b 6.255
_cell_length_c 7.376
_cell_angle_alpha 90.00
_cell_angle_beta 90.00
_cell_angle_gamma 90.00
_symmetry_space_group_name_H-M 'I m m 2'
_symmetry_Int_Tables_number 44
loop_
_symmetry_equiv_pos_as_xyz
'x,y,z'
'-x,-y,z'
'-x,y,z'
'x,-y,z'
'x+1/2,y+1/2,z+1/2'
'-x+1/2,-y+1/2,z+1/2'
'-x+1/2,y+1/2,z+1/2'
'x+1/2,-y+1/2,z+1/2'
loop_
_atom_site_label
_atom_site_type_symbol
_atom_site_fract_x
_atom_site_fract_y
_atom_site_fract_z
Ba1 Ba 0.000 0.000 0.000
Cu1 Cu 0.000 0.500 0.849
P1 P 0.000 0.000 0.506
P2 P 0.000 0.500 0.164